VASP calculation (PBE) on an optimized crystal structure of MnCu2W.

abc: 4.542 4.542 4.542
angles: 131.46 131.65 70.94
Atoms (fractional coordinates):
1 Cu 0.000 0.000 0.000
2 W 0.250 0.750 0.500
3 Mn 0.500 0.500 0.000
4 Cu 0.750 0.250 0.500

- E_form: 0.30 eV per atom
- Polymorph energy (0 for the lowest one): 79 meV/atom
- Size of the total moment: 0.859 μB per formula unit
- SG: Imm2 (44)